Here is Th2BeCo12P3 after structural relaxation from Alexandria via LeMat-Bulk. Energies are from PBE.

The value obtained for the magnetization is 0.398 μB/atom. Its formation energy is -23 kJ/mol of formula units.

The structure belongs to space group R-3m (No. 166, hexagonal axes); the cell edges are 8.2523, 8.2523 and 11.9311 Å and the angles 90.00°, 90.00° and 120.00°. Symmetry generates all atoms from Th at (0.0000, 0.0000, 0.1504), Be at (0.0000, 0.0000, 0.5000), Co at (0.0139, 0.5070, 0.3832), Co at (0.0205, 0.5103, 0.1857) and P at (0.0000, 0.5000, 0.0000).

=====

Here is TmHfPb2 after structural relaxation from Alexandria via LeMat-Bulk. Energies are from PBE.

Its energy above the lowest structure with this stoichiometry is 118 meV per atom. The value obtained for the magnetization is 0.000 μB/atom. Its formation energy is 4 kJ/mol of formula units.

The structure belongs to space group R3m (No. 160, hexagonal axes); the cell edges are 4.5943, 4.5943 and 18.9968 Å and the angles 90.00°, 90.00° and 120.00°. Symmetry generates all atoms from Tm at (0.0000, 0.0000, 0.0000), Hf at (0.0000, 0.0000, 0.1788), Pb at (0.0000, 0.0000, 0.4227) and Pb at (0.0000, 0.0000, 0.5852).

=====

Here is La6IrPb2N after structural relaxation from Alexandria via LeMat-Bulk. Energies are from PBE.

The uncorrected formation energy is -0.687 eV per atom. The value obtained for the magnetization is 0.000 μB/atom.

The structure belongs to space group I4/mmm (No. 139); the cell edges are 7.597, 7.597 and 10.733 Å and the angles 90.00°, 90.00° and 90.00°. Symmetry generates all atoms from La at (0.000, 0.000, 0.239), La at (0.238, 0.238, 0.000), Ir at (0.000, 0.000, 0.500), Pb at (0.000, 0.500, 0.250) and N at (0.000, 0.000, 0.000).

=====

Here is NaLi3Cl after structural relaxation from Alexandria via LeMat-Bulk. Energies are from PBE.

The uncorrected formation energy is 0.090 eV per atom. Its energy above the lowest structure with this stoichiometry is 599 meV per atom. The value obtained for the magnetization is 0.000 μB/atom.

The structure belongs to space group Pm-3m (No. 221); the cell edges are 5.361, 5.361 and 5.361 Å and the angles 90.00°, 90.00° and 90.00°. Symmetry generates all atoms from Na at (0.000, 0.000, 0.000), Li at (0.000, 0.000, 0.500) and Cl at (0.500, 0.500, 0.500).